First-principles (PBE) data for crystalline LiTaAu3 at its relaxed geometry, as listed in Alexandria via LeMat-Bulk.

Calculated values
Theoretical density = 9.37 g cm⁻³
Crystal system = cubic
ΔE_f = 2.83 eV/f.u.
Energy above the lowest structure with this stoichiometry = 80 meV per atom
Symmetry = Pm-3m, No. 221
VASP energy = -4.15 eV per atom

Cell lengths 5.167, 5.167, 5.167 Å; angles 90.00, 90.00, 90.00 degrees
Sites, in units of the cell vectors:
Au 0.500 0.000 0.000
Ta 0.000 0.000 0.000
Au 0.000 0.000 0.500
Au 0.000 0.500 0.000
Li 0.500 0.500 0.500